Entry 1:
LiZr2Br: optimized geometry, PBE.

Summary:
Formation energy (no corrections), eV per atom: 0.00
Polymorph energy (0 for the lowest one), meV/atom: 364.6

Lattice parameters (Å, degrees): 3.2376 3.2376 28.4785 90.00 90.00 120.00
Positions (direct):
Li (0.0000, 0.0000, 0.0000)
Li (0.3333, 0.6667, 0.6667)
Li (0.6667, 0.3333, 0.3333)
Zr (0.0000, 0.0000, 0.2486)
Zr (0.0000, 0.0000, 0.7514)
Zr (0.3333, 0.6667, 0.4181)
Zr (0.3333, 0.6667, 0.9152)
Zr (0.6667, 0.3333, 0.0848)
Zr (0.6667, 0.3333, 0.5819)
Br (0.0000, 0.0000, 0.5000)
Br (0.3333, 0.6667, 0.1667)
Br (0.6667, 0.3333, 0.8333)

***

Entry 2:
La2InCl: optimized geometry, PBE.

Summary:
Formation energy (no corrections), eV per atom: -0.28
Polymorph energy (0 for the lowest one), meV/atom: 715.8

Lattice parameters (Å, degrees): 7.7499 7.7499 7.7499 90.00 90.00 90.00
Positions (direct):
La (0.0000, 0.0000, 0.0000)
La (0.0000, 0.5000, 0.5000)
La (0.2500, 0.2500, 0.2500)
La (0.2500, 0.7500, 0.7500)
La (0.5000, 0.0000, 0.5000)
La (0.5000, 0.5000, 0.0000)
La (0.7500, 0.2500, 0.7500)
La (0.7500, 0.7500, 0.2500)
In (0.0000, 0.0000, 0.5000)
In (0.0000, 0.5000, 0.0000)
In (0.5000, 0.0000, 0.0000)
In (0.5000, 0.5000, 0.5000)
Cl (0.2500, 0.2500, 0.7500)
Cl (0.2500, 0.7500, 0.2500)
Cl (0.7500, 0.2500, 0.2500)
Cl (0.7500, 0.7500, 0.7500)

***

Entry 3:
Pa3B9Ru2: optimized geometry, PBE.

Summary:
Formation enthalpy at 0 K, eV per atom: -0.3175

Lattice parameters (Å, degrees): 7.9671 7.9671 7.9671 157.47 120.24 64.70
Positions (direct):
Pa (0.0000, 0.0000, 0.0000)
Pa (0.2701, 0.2701, 0.0000)
Pa (0.7299, 0.7299, 0.0000)
B (0.0405, 0.3615, 0.6790)
B (0.1273, 0.8672, 0.2600)
B (0.3175, 0.6385, 0.6790)
B (0.3928, 0.1328, 0.2600)
B (0.5000, 0.0000, 0.5000)
B (0.6072, 0.8672, 0.7400)
B (0.6825, 0.3615, 0.3210)
B (0.8727, 0.1328, 0.7400)
B (0.9595, 0.6385, 0.3210)
Ru (0.3249, 0.5000, 0.8249)
Ru (0.6751, 0.5000, 0.1751)

***

Entry 4:
AlTc2Te: optimized geometry, PBE.

Summary:
Formation energy (no corrections), eV per atom: 0.03
Polymorph energy (0 for the lowest one), meV/atom: 21.6

Lattice parameters (Å, degrees): 3.1825 3.1825 6.2925 90.00 90.00 90.00
Positions (direct):
Al (0.0000, 0.0000, 0.0000)
Tc (0.5000, 0.5000, 0.2413)
Tc (0.5000, 0.5000, 0.7587)
Te (0.0000, 0.0000, 0.5000)

***

Entry 5:
Rb3NbCd: optimized geometry, PBE.

Summary:
Polymorph energy (0 for the lowest one), meV/atom: 0.0
Formation enthalpy at 0 K, eV per atom: 1.0939

Lattice parameters (Å, degrees): 7.0978 7.0978 7.0978 90.00 90.00 90.00
Positions (direct):
Rb (0.0000, 0.0000, 0.5000)
Rb (0.0000, 0.5000, 0.0000)
Rb (0.5000, 0.0000, 0.0000)
Nb (0.0000, 0.0000, 0.0000)
Cd (0.5000, 0.5000, 0.5000)

***

Entry 6:
KNi2C: optimized geometry, PBE.

Summary:
Formation enthalpy at 0 K, eV per atom: 0.2206

Lattice parameters (Å, degrees): 3.6348 3.6348 5.4969 90.00 90.00 90.00
Positions (direct):
K (0.0000, 0.0000, 0.0000)
Ni (0.0000, 0.5000, 0.5000)
Ni (0.5000, 0.0000, 0.5000)
C (0.5000, 0.5000, 0.5000)

***

Entry 7:
Er3GeB2Rh9: optimized geometry, PBE.

Summary:
Formation enthalpy at 0 K, eV per atom: -0.7043

Lattice parameters (Å, degrees): 6.0637 6.0637 7.5344 90.00 90.00 120.00
Positions (direct):
Er (0.0000, 0.0000, 0.0000)
Er (0.3333, 0.6667, 0.6647)
Er (0.6667, 0.3333, 0.3353)
Ge (0.0000, 0.0000, 0.5000)
B (0.3333, 0.6667, 0.1465)
B (0.6667, 0.3333, 0.8535)
Rh (0.0000, 0.5000, 0.0000)
Rh (0.1768, 0.3537, 0.3129)
Rh (0.1768, 0.8232, 0.3129)
Rh (0.3537, 0.1768, 0.6871)
Rh (0.5000, 0.0000, 0.0000)
Rh (0.5000, 0.5000, 0.0000)
Rh (0.6463, 0.8232, 0.3129)
Rh (0.8232, 0.1768, 0.6871)
Rh (0.8232, 0.6463, 0.6871)

***

Entry 8:
ZrCl: optimized geometry, PBE.

Summary:
Formation energy (no corrections), eV per atom: 0.03

Lattice parameters (Å, degrees): 7.0401 7.0401 7.0401 90.00 90.00 90.00
Positions (direct):
Zr (0.0000, 0.2500, 0.5000)
Zr (0.0000, 0.7500, 0.5000)
Zr (0.2500, 0.5000, 0.0000)
Zr (0.5000, 0.0000, 0.2500)
Zr (0.5000, 0.0000, 0.7500)
Zr (0.7500, 0.5000, 0.0000)
Cl (0.0000, 0.5000, 0.2500)
Cl (0.0000, 0.5000, 0.7500)
Cl (0.2500, 0.0000, 0.5000)
Cl (0.5000, 0.2500, 0.0000)
Cl (0.5000, 0.7500, 0.0000)
Cl (0.7500, 0.0000, 0.5000)

***

Entry 9:
CuIr2C2: optimized geometry, PBE.

Summary:
Polymorph energy (0 for the lowest one), meV/atom: 0.0
Formation enthalpy at 0 K, eV per atom: 0.7675

Lattice parameters (Å, degrees): 3.2925 3.2925 10.6867 90.00 90.00 90.00
Positions (direct):
Cu (0.0000, 0.0000, 0.0000)
Cu (0.5000, 0.5000, 0.5000)
Ir (0.0000, 0.0000, 0.3641)
Ir (0.0000, 0.0000, 0.6359)
Ir (0.5000, 0.5000, 0.1359)
Ir (0.5000, 0.5000, 0.8641)
C (0.0000, 0.5000, 0.2500)
C (0.0000, 0.5000, 0.7500)
C (0.5000, 0.0000, 0.2500)
C (0.5000, 0.0000, 0.7500)

***

Entry 10:
TcPtW2: optimized geometry, PBE.

Summary:
Polymorph energy (0 for the lowest one), meV/atom: 221.4
Formation enthalpy at 0 K, eV per atom: 0.0886

Lattice parameters (Å, degrees): 3.3431 3.3431 5.6299 90.00 90.00 90.00
Positions (direct):
Tc (0.0000, 0.0000, 0.0000)
Pt (0.0000, 0.0000, 0.5000)
W (0.5000, 0.5000, 0.2506)
W (0.5000, 0.5000, 0.7494)

***

Entry 11:
DyTeS4: optimized geometry, PBE.

Summary:
Formation energy (no corrections), eV per atom: -0.60

Lattice parameters (Å, degrees): 6.2181 6.7721 6.8863 90.00 96.81 90.00
Positions (direct):
Dy (0.0000, 0.0000, 0.0000)
Dy (0.0000, 0.5000, 0.5000)
Te (0.5000, 0.0000, 0.5000)
Te (0.5000, 0.5000, 0.0000)
S (0.1422, 0.1609, 0.3585)
S (0.1422, 0.3391, 0.8585)
S (0.2884, 0.7201, 0.2566)
S (0.2884, 0.7799, 0.7566)
S (0.7116, 0.2201, 0.2434)
S (0.7116, 0.2799, 0.7434)
S (0.8578, 0.6609, 0.1415)
S (0.8578, 0.8391, 0.6415)

***

Entry 12:
FeHgPH: optimized geometry, PBE.

Summary:
Polymorph energy (0 for the lowest one), meV/atom: 26.2

Lattice parameters (Å, degrees): 3.0795 3.0795 6.2216 90.00 90.00 120.00
Positions (direct):
Fe (0.0000, 0.0000, 0.0000)
Hg (0.6667, 0.3333, 0.3724)
P (0.6667, 0.3333, 0.7882)
H (0.3333, 0.6667, 0.0485)

***

Entry 13:
Ho2Ga3Pt5: optimized geometry, PBE.

Summary:
Polymorph energy (0 for the lowest one), meV/atom: 31.3
Formation enthalpy at 0 K, eV per atom: -0.9368

Lattice parameters (Å, degrees): 8.5466 8.5466 8.5466 96.65 96.06 141.13
Positions (direct):
Ho (0.1360, 0.2252, 0.3612)
Ho (0.3640, 0.7252, 0.0893)
Ho (0.6360, 0.2748, 0.9107)
Ho (0.8640, 0.7748, 0.6388)
Ga (0.1376, 0.8812, 0.0188)
Ga (0.2500, 0.7500, 0.5000)
Ga (0.3624, 0.3812, 0.7437)
Ga (0.6376, 0.6188, 0.2563)
Ga (0.7500, 0.2500, 0.5000)
Ga (0.8624, 0.1188, 0.9812)
Pt (0.0231, 0.7500, 0.2731)
Pt (0.0974, 0.6713, 0.7687)
Pt (0.2500, 0.2500, 0.0000)
Pt (0.4026, 0.1713, 0.5739)
Pt (0.4769, 0.7500, 0.7269)
Pt (0.5231, 0.2500, 0.2731)
Pt (0.5974, 0.8287, 0.4261)
Pt (0.7500, 0.7500, 0.0000)
Pt (0.9026, 0.3287, 0.2313)
Pt (0.9769, 0.2500, 0.7269)

***

Entry 14:
LiOs2Br: optimized geometry, PBE.

Summary:
Formation energy (no corrections), eV per atom: 0.35
Polymorph energy (0 for the lowest one), meV/atom: 20.8

Lattice parameters (Å, degrees): 2.9277 3.6131 6.9225 90.00 90.00 90.00
Positions (direct):
Li (0.0000, 0.0000, 0.0000)
Os (0.0000, 0.0000, 0.4015)
Os (0.5000, 0.5000, 0.2502)
Br (0.5000, 0.5000, 0.8640)

***

Entry 15:
CsBi2PdRh: optimized geometry, PBE.

Summary:
Formation enthalpy at 0 K, eV per atom: 0.4753

Lattice parameters (Å, degrees): 5.3742 5.3742 5.4458 90.00 90.00 90.00
Positions (direct):
Cs (0.0000, 0.0000, 0.0000)
Bi (0.0000, 0.5000, 0.5000)
Bi (0.5000, 0.0000, 0.5000)
Pd (0.5000, 0.5000, 0.5000)
Rh (0.5000, 0.5000, 0.0000)

***

Entry 16:
CoTcBr3: optimized geometry, PBE.

Summary:
Formation energy (no corrections), eV per atom: 0.68
Polymorph energy (0 for the lowest one), meV/atom: 0.0

Lattice parameters (Å, degrees): 4.9720 4.9720 4.9720 90.00 90.00 90.00
Positions (direct):
Co (0.0000, 0.0000, 0.0000)
Tc (0.5000, 0.5000, 0.5000)
Br (0.0000, 0.0000, 0.5000)
Br (0.0000, 0.5000, 0.0000)
Br (0.5000, 0.0000, 0.0000)

***

Entry 17:
TiMnZnFe: optimized geometry, PBE.

Summary:
Polymorph energy (0 for the lowest one), meV/atom: 40.1
Formation enthalpy at 0 K, eV per atom: -0.0796

Lattice parameters (Å, degrees): 3.3731 3.9211 8.0072 90.00 90.00 90.00
Positions (direct):
Ti (0.0000, 0.0000, 0.0000)
Ti (0.5000, 0.5000, 0.5000)
Mn (0.0000, 0.0000, 0.4863)
Mn (0.5000, 0.5000, 0.9863)
Zn (0.0000, 0.5000, 0.2392)
Zn (0.5000, 0.0000, 0.7392)
Fe (0.0000, 0.5000, 0.7437)
Fe (0.5000, 0.0000, 0.2437)

***

Entry 18:
Pm2YIn: optimized geometry, PBE.

Summary:
Polymorph energy (0 for the lowest one), meV/atom: 63.9
Formation enthalpy at 0 K, eV per atom: -0.2121

Lattice parameters (Å, degrees): 3.6296 3.6296 9.5175 90.00 90.00 90.00
Positions (direct):
Pm (0.0000, 0.0000, 0.2260)
Pm (0.0000, 0.0000, 0.7740)
Y (0.5000, 0.5000, 0.5000)
In (0.5000, 0.5000, 0.0000)

***

Entry 19:
Rb2UVSe5: optimized geometry, PBE.

Summary:
Formation energy (no corrections), eV per atom: -1.03

Lattice parameters (Å, degrees): 10.1882 10.1882 14.4849 90.00 90.00 155.94
Positions (direct):
Rb (0.1249, 0.8751, 0.5000)
Rb (0.1318, 0.8682, 0.8500)
Rb (0.8682, 0.1318, 0.3500)
Rb (0.8751, 0.1249, 0.0000)
U (0.1940, 0.8060, 0.1884)
U (0.8060, 0.1940, 0.6884)
V (0.4312, 0.5688, 0.5900)
V (0.5688, 0.4312, 0.0900)
Se (0.0475, 0.9525, 0.1739)
Se (0.3123, 0.6877, 0.5539)
Se (0.3143, 0.6857, 0.8133)
Se (0.3250, 0.6750, 0.1740)
Se (0.4878, 0.5122, 0.4553)
Se (0.5122, 0.4878, 0.9553)
Se (0.6750, 0.3250, 0.6740)
Se (0.6857, 0.3143, 0.3133)
Se (0.6877, 0.3123, 0.0539)
Se (0.9525, 0.0475, 0.6739)

***

Entry 20:
Ac2MnGe3Pt4: optimized geometry, PBE.

Summary:
Formation enthalpy at 0 K, eV per atom: -0.8512

Lattice parameters (Å, degrees): 4.4832 4.4832 10.2721 90.00 90.00 90.00
Positions (direct):
Ac (0.0000, 0.5000, 0.2485)
Ac (0.5000, 0.0000, 0.7515)
Mn (0.5000, 0.5000, 0.0000)
Ge (0.0000, 0.0000, 0.0000)
Ge (0.0000, 0.5000, 0.6246)
Ge (0.5000, 0.0000, 0.3754)
Pt (0.0000, 0.0000, 0.5000)
Pt (0.0000, 0.5000, 0.8697)
Pt (0.5000, 0.0000, 0.1303)
Pt (0.5000, 0.5000, 0.5000)

***

Going through the records in order, we get density values of 5.189, 6.109, 9.910, 9.134, 2.144, 3.853, 10.536, 3.617, 13.531, 17.438, 4.825, 9.373, 13.614, 10.597, 8.026, 5.359, 7.026, 6.539, 4.631, 12.122 Mg/m³.